Entry from Alexandria: crystalline Na2LaZnGe2 at its relaxed geometry (PBE-GGA).

Results
Formation enthalpy at 0 K (eV per atom): -0.354
SG: Pmc2_1, No. 26

a b c (Å): 4.525 8.521 7.573
angles (deg): 90.00 90.00 90.00
Sites, in units of the cell vectors:
Na 0.000 0.077 0.000
Na 0.000 0.923 0.500
Na 0.500 0.150 0.321
Na 0.500 0.850 0.821
La 0.500 0.453 0.985
La 0.500 0.547 0.485
Zn 0.000 0.315 0.640
Zn 0.000 0.685 0.140
Ge 0.000 0.382 0.274
Ge 0.000 0.618 0.774
Ge 0.500 0.185 0.709
Ge 0.500 0.815 0.209

Entry from Alexandria: crystalline NaLa2Zn3Ge4 at its relaxed geometry (PBE-GGA).

Results
Formation enthalpy at 0 K (eV per atom): -0.420
SG: P-4m2, No. 115

a b c (Å): 4.459 4.459 10.751
angles (deg): 90.00 90.00 90.00
Sites, in units of the cell vectors:
Na 0.000 0.000 0.000
La 0.000 0.500 0.734
La 0.500 0.000 0.266
Zn 0.000 0.500 0.378
Zn 0.500 0.000 0.622
Zn 0.500 0.500 0.000
Ge 0.000 0.000 0.500
Ge 0.000 0.500 0.151
Ge 0.500 0.000 0.849
Ge 0.500 0.500 0.500

Entry from Alexandria: crystalline LaNbGe3 at its relaxed geometry (PBE-GGA).

Results
Formation enthalpy at 0 K (eV per atom): 1.571
SG: Pm-3m, No. 221

a b c (Å): 5.363 5.363 5.363
angles (deg): 90.00 90.00 90.00
Sites, in units of the cell vectors:
La 0.000 0.000 0.000
Nb 0.500 0.500 0.500
Ge 0.000 0.000 0.500
Ge 0.000 0.500 0.000
Ge 0.500 0.000 0.000

Entry from Alexandria: crystalline La2NbGe2 at its relaxed geometry (PBE-GGA).

Results
Formation enthalpy at 0 K (eV per atom): -0.498
SG: P4/mbm, No. 127

a b c (Å): 7.410 7.410 4.529
angles (deg): 90.00 90.00 90.00
Sites, in units of the cell vectors:
La 0.177 0.323 0.000
La 0.323 0.823 0.000
La 0.677 0.177 0.000
La 0.823 0.677 0.000
Nb 0.000 0.000 0.500
Nb 0.500 0.500 0.500
Ge 0.130 0.630 0.500
Ge 0.370 0.130 0.500
Ge 0.630 0.870 0.500
Ge 0.870 0.370 0.500

Entry from Alexandria: crystalline La3NbGe at its relaxed geometry (PBE-GGA).

Results
Formation enthalpy at 0 K (eV per atom): 0.264
SG: Pm-3m, No. 221

a b c (Å): 5.457 5.457 5.457
angles (deg): 90.00 90.00 90.00
Sites, in units of the cell vectors:
La 0.000 0.000 0.500
La 0.000 0.500 0.000
La 0.500 0.000 0.000
Nb 0.000 0.000 0.000
Ge 0.500 0.500 0.500

Entry from Alexandria: crystalline LaNb3Ge2 at its relaxed geometry (PBE-GGA).

Results
Formation enthalpy at 0 K (eV per atom): -0.443
SG: C2/m, No. 12

a b c (Å): 7.772 7.772 8.708
angles (deg): 115.54 115.54 32.93
Sites, in units of the cell vectors:
La 0.149 0.149 0.061
La 0.851 0.851 0.939
Nb 0.050 0.050 0.370
Nb 0.316 0.316 0.532
Nb 0.425 0.425 0.340
Nb 0.575 0.575 0.660
Nb 0.684 0.684 0.468
Nb 0.950 0.950 0.630
Ge 0.191 0.191 0.705
Ge 0.477 0.477 0.843
Ge 0.523 0.523 0.157
Ge 0.809 0.809 0.295

Entry from Alexandria: crystalline La2Nb3Ge4 at its relaxed geometry (PBE-GGA).

Results
Formation enthalpy at 0 K (eV per atom): -0.655
SG: P2_1/c, No. 14

a b c (Å): 7.359 7.344 7.252
angles (deg): 90.00 109.28 90.00
Sites, in units of the cell vectors:
La 0.183 0.167 0.059
La 0.183 0.333 0.559
La 0.817 0.667 0.441
La 0.817 0.833 0.941
Nb 0.262 0.670 0.249
Nb 0.262 0.830 0.749
Nb 0.500 0.000 0.500
Nb 0.500 0.500 0.000
Nb 0.738 0.170 0.251
Nb 0.738 0.330 0.751
Ge 0.095 0.546 0.870
Ge 0.095 0.954 0.370
Ge 0.496 0.133 0.866
Ge 0.496 0.367 0.366
Ge 0.504 0.633 0.634
Ge 0.504 0.867 0.134
Ge 0.905 0.046 0.630
Ge 0.905 0.454 0.130

Entry from Alexandria: crystalline La2NbGe at its relaxed geometry (PBE-GGA).

Results
Formation enthalpy at 0 K (eV per atom): 0.285
SG: I-42d, No. 122

a b c (Å): 6.655 6.655 6.655
angles (deg): 101.46 101.46 127.07
Sites, in units of the cell vectors:
La 0.119 0.625 0.994
La 0.375 0.369 0.494
La 0.631 0.125 0.006
La 0.875 0.881 0.506
Nb 0.250 0.750 0.500
Nb 0.500 0.500 0.000
Ge 0.000 0.000 0.000
Ge 0.750 0.250 0.500

Entry from Alexandria: crystalline LaNbGe3 at its relaxed geometry (PBE-GGA).

Results
Formation enthalpy at 0 K (eV per atom): -0.226
SG: Pm-3m, No. 221

a b c (Å): 4.981 4.981 4.981
angles (deg): 90.00 90.00 90.00
Sites, in units of the cell vectors:
La 0.000 0.000 0.000
Nb 0.500 0.500 0.500
Ge 0.000 0.500 0.500
Ge 0.500 0.000 0.500
Ge 0.500 0.500 0.000

Entry from Alexandria: crystalline La5NbGe4 at its relaxed geometry (PBE-GGA).

Results
Formation enthalpy at 0 K (eV per atom): -0.452
SG: C2/m, No. 12

a b c (Å): 9.365 9.365 8.132
angles (deg): 103.38 103.38 25.51
Sites, in units of the cell vectors:
La 0.000 0.000 0.000
La 0.327 0.327 0.667
La 0.339 0.339 0.148
La 0.661 0.661 0.852
La 0.673 0.673 0.333
Nb 0.000 0.000 0.500
Ge 0.154 0.154 0.586
Ge 0.496 0.496 0.716
Ge 0.504 0.504 0.284
Ge 0.846 0.846 0.414

Entry from Alexandria: crystalline La2NbGe4Pt3 at its relaxed geometry (PBE-GGA).

Results
Formation enthalpy at 0 K (eV per atom): -0.882
SG: P-4m2, No. 115

a b c (Å): 4.339 4.339 10.727
angles (deg): 90.00 90.00 90.00
Sites, in units of the cell vectors:
La 0.000 0.500 0.237
La 0.500 0.000 0.763
Nb 0.000 0.000 0.500
Ge 0.000 0.000 0.000
Ge 0.000 0.500 0.640
Ge 0.500 0.000 0.360
Ge 0.500 0.500 0.000
Pt 0.000 0.500 0.876
Pt 0.500 0.000 0.124
Pt 0.500 0.500 0.500

Entry from Alexandria: crystalline La2NbReGe at its relaxed geometry (PBE-GGA).

Results
Formation enthalpy at 0 K (eV per atom): 1.113
SG: P4/mmm, No. 123

a b c (Å): 5.542 5.542 4.774
angles (deg): 90.00 90.00 90.00
Sites, in units of the cell vectors:
La 0.000 0.500 0.000
La 0.500 0.000 0.000
Nb 0.000 0.000 0.500
Re 0.500 0.500 0.500
Ge 0.000 0.000 0.000

Entry from Alexandria: crystalline LaNbGe2Ru at its relaxed geometry (PBE-GGA).

Results
Formation enthalpy at 0 K (eV per atom): -0.571
SG: I-4m2, No. 119

a b c (Å): 6.494 6.494 6.494
angles (deg): 142.68 142.68 53.81
Sites, in units of the cell vectors:
La 0.000 0.000 0.000
Nb 0.750 0.250 0.500
Ge 0.385 0.385 0.000
Ge 0.615 0.615 0.000
Ru 0.250 0.750 0.500

Entry from Alexandria: crystalline La2NbGeRu at its relaxed geometry (PBE-GGA).

Results
Formation enthalpy at 0 K (eV per atom): 0.178
SG: P4/mmm, No. 123

a b c (Å): 5.455 5.455 4.862
angles (deg): 90.00 90.00 90.00
Sites, in units of the cell vectors:
La 0.000 0.500 0.000
La 0.500 0.000 0.000
Nb 0.000 0.000 0.500
Ge 0.500 0.500 0.500
Ru 0.000 0.000 0.000

Entry from Alexandria: crystalline LaNbGe2Ru at its relaxed geometry (PBE-GGA).

Results
Formation enthalpy at 0 K (eV per atom): 0.914
SG: P4/mmm, No. 123

a b c (Å): 4.971 4.971 5.347
angles (deg): 90.00 90.00 90.00
Sites, in units of the cell vectors:
La 0.000 0.000 0.000
Nb 0.000 0.000 0.500
Ge 0.000 0.500 0.500
Ge 0.500 0.000 0.500
Ru 0.500 0.500 0.000

Entry from Alexandria: crystalline La2NbGeSe at its relaxed geometry (PBE-GGA).

Results
SG: P4/mmm, No. 123
Formation energy from raw total energies (kJ/mol of formula units): -117

a b c (Å): 5.568 5.568 4.861
angles (deg): 90.00 90.00 90.00
Sites, in units of the cell vectors:
La 0.000 0.500 0.000
La 0.500 0.000 0.000
Nb 0.000 0.000 0.000
Ge 0.000 0.000 0.500
Se 0.500 0.500 0.500

Entry from Alexandria: crystalline LaNb2SnGe at its relaxed geometry (PBE-GGA).

Results
Formation enthalpy at 0 K (eV per atom): 0.414
SG: P4/mmm, No. 123

a b c (Å): 4.882 4.882 5.546
angles (deg): 90.00 90.00 90.00
Sites, in units of the cell vectors:
La 0.000 0.000 0.000
Nb 0.000 0.500 0.500
Nb 0.500 0.000 0.500
Sn 0.500 0.500 0.000
Ge 0.000 0.000 0.500

Entry from Alexandria: crystalline SrLaNbGe2 at its relaxed geometry (PBE-GGA).

Results
Formation enthalpy at 0 K (eV per atom): -0.006
SG: P4/mmm, No. 123

a b c (Å): 5.241 5.241 5.214
angles (deg): 90.00 90.00 90.00
Sites, in units of the cell vectors:
Sr 0.000 0.000 0.000
La 0.500 0.500 0.000
Nb 0.500 0.500 0.500
Ge 0.000 0.500 0.500
Ge 0.500 0.000 0.500

Entry from Alexandria: crystalline LaTaNbGe2 at its relaxed geometry (PBE-GGA).

Results
Formation enthalpy at 0 K (eV per atom): -0.570
SG: I-4m2, No. 119

a b c (Å): 6.799 6.799 6.799
angles (deg): 144.62 144.62 50.89
Sites, in units of the cell vectors:
La 0.000 0.000 0.000
Ta 0.750 0.250 0.500
Nb 0.250 0.750 0.500
Ge 0.393 0.393 0.000
Ge 0.607 0.607 0.000

Entry from Alexandria: crystalline La2NbGeTe at its relaxed geometry (PBE-GGA).

Results
SG: P4/mmm, No. 123
Formation energy from raw total energies (kJ/mol of formula units): 320

a b c (Å): 5.707 5.707 5.152
angles (deg): 90.00 90.00 90.00
Sites, in units of the cell vectors:
La 0.000 0.500 0.000
La 0.500 0.000 0.000
Nb 0.000 0.000 0.500
Ge 0.500 0.500 0.000
Te 0.500 0.500 0.500

no.,magnetic moment (μB/f.u.)
1,0.00
2,0.00
3,0.33
4,1.52
5,0.00
6,0.00
7,0.00
8,0.04
9,0.00
10,0.02
11,0.00
12,0.15
13,0.00
14,1.55
15,2.54
16,0.00
17,0.00
18,0.00
19,0.00
20,0.01